Record 1
LiScTi | PBE | relaxed

Cell: 3.0133 4.6777 8.8629 Å, 90.00 95.47 90.00°
With the nearest neighbours (Å) after each atom.
Space group P2_1/m (No. 11)
Unique sites:
Li 0.1722 0.2500 0.4104  6 Li 3.01-3.36, 1 Ti 3.09, 5 Sc 3.16-3.31
Sc 0.4322 0.2500 0.7753  6 Ti 2.93-3.15, 2 Sc 3.01, 3 Li 3.16-3.25
Ti 0.0139 0.2500 0.0609  2 Ti 2.57

Computed properties:
DOS at the Fermi energy = 2.10 states/eV/f.u.

Record 2
LiSc4Tl5 | PBE | relaxed

Cell: 3.4250 3.4250 19.4292 Å, 90.00 90.00 90.00°
With the nearest neighbours (Å) after each atom.
Space group P4/mmm (No. 123)
Unique sites:
Li 0.0000 0.0000 0.0000  8 Tl 2.95
Sc 0.0000 0.0000 0.1889  8 Tl 3.14-3.15, 4 Sc 3.42
Sc 0.0000 0.0000 0.3959  8 Tl 3.15-3.16, 4 Sc 3.42
Tl 0.5000 0.5000 0.0863  4 Li 2.95, 4 Sc 3.14
Tl 0.5000 0.5000 0.2924  8 Sc 3.15, 4 Tl 3.42
Tl 0.5000 0.5000 0.5000  8 Sc 3.16, 4 Tl 3.42

Computed properties:
DOS at the Fermi energy = 5.47 states/eV/f.u.

Record 3
Li5Sc2Tl4 | PBE | relaxed

Cell: 5.3064 10.6851 17.5014 Å, 90.00 90.00 90.00°
With the nearest neighbours (Å) after each atom.
Space group Fmmm (No. 69)
Unique sites:
Li 0.0000 0.0000 0.0000  4 Tl 2.80, 4 Li 2.98
Li 0.2500 0.2500 0.0000  2 Li 2.65, 4 Tl 2.87
Li 0.2500 0.2500 0.2500  2 Li 2.65, 4 Tl 2.69
Sc 0.0000 0.0000 0.3103  4 Li 3.16, 6 Tl 3.25-3.51, 2 Sc 3.39
Tl 0.0000 0.1483 0.1316  5 Li 2.69-2.87

Computed properties:
DOS at the Fermi energy = 5.69 states/eV/f.u.

Record 4
LiSc6Tl5 | PBE | relaxed

Cell: 5.0517 7.1088 15.3074 Å, 90.00 90.00 90.00°
With the nearest neighbours (Å) after each atom.
Space group Immm (No. 71)
Unique sites:
Li 0.0000 0.0000 0.0000  8 Sc 3.12-3.14, 4 Tl 3.44
Sc 0.0000 0.2431 0.5000  6 Tl 2.96-3.10, 2 Li 3.12
Sc 0.0000 0.2508 0.1685  7 Tl 3.07-3.26, 1 Li 3.14
Tl 0.0000 0.0000 0.3320  8 Sc 3.07-3.10
Tl 0.0000 0.5000 0.0000  8 Sc 3.06-3.13
Tl 0.0000 0.5000 0.3475  8 Sc 2.96-3.26

Computed properties:
DOS at the Fermi energy = 11.47 states/eV/f.u.

Asked for energy of formation across the records above, the calculation gives 11, -25, -4, -24 kJ per mole of atoms in order.